one | The following is a PBE calculation of a relaxed structure of La2MgTi2, from Alexandria.

Output
DOS(E_F)	1.23	states/eV per atom
symmetry	No. 127
magnetic moment	1.5	μB per formula unit

Cell: 8.7806 8.7806 3.4138 Å, 90.00 90.00 90.00°
Last column: nearest neighbours and their distance in Å.
Fractional positions:
Ti 0.6060 0.1060 0.0000  1 Ti 2.63
Mg 0.5000 0.5000 0.0000  2 Mg 3.41, 4 Ti 3.58, 8 La 3.61
La 0.8072 0.3072 0.5000  6 Ti 3.03-3.22
Mg 0.0000 0.0000 0.0000  2 Mg 3.41, 4 Ti 3.58, 8 La 3.61
La 0.3072 0.1928 0.5000  6 Ti 3.03-3.22
Ti 0.3940 0.8940 0.0000  1 Ti 2.63
Ti 0.8940 0.6060 0.0000  1 Ti 2.63
Ti 0.1060 0.3940 0.0000  1 Ti 2.63
La 0.6928 0.8072 0.5000  6 Ti 3.03-3.22
La 0.1928 0.6928 0.5000  6 Ti 3.03-3.22

two | The following is a PBE calculation of a relaxed structure of La2MgTi2, from Alexandria.

Output
DOS(E_F)	1.36	states/eV per atom
symmetry	No. 139
magnetic moment	0.0	μB per formula unit

Cell: 4.5056 4.5056 7.5625 Å, 72.67 72.67 90.00°
Last column: nearest neighbours and their distance in Å.
Fractional positions:
Ti 0.5748 0.5748 0.8504  1 Ti 2.05
Mg 0.0000 0.0000 0.0000  8 Ti 3.35
La 0.2500 0.7500 0.5000  4 La 3.19, 4 Ti 3.29
Ti 0.4252 0.4252 0.1496  1 Ti 2.05
La 0.7500 0.2500 0.5000  4 La 3.19, 4 Ti 3.29

Relative energies with respect to the most stable structure, expressed in eV/atom: one 0.000; two 0.369.

one | The following is a PBE calculation of a relaxed structure of LaMgTl2, from Alexandria.

Output
DOS(E_F)	0.62	states/eV per atom
symmetry	No. 65
magnetic moment	0.0	μB per formula unit

Cell: 3.4678 3.4678 10.3206 Å, 90.00 90.00 112.38°
Last column: nearest neighbours and their distance in Å.
Fractional positions:
La 0.5000 0.5000 0.2500  4 Tl 3.40, 4 La 3.47
Tl 0.0000 0.0000 0.9793  2 Mg 3.05, 2 La 3.40
Mg 0.5000 0.5000 0.7500  4 Tl 3.05
Tl 0.0000 0.0000 0.5207  2 Mg 3.05, 2 La 3.40

two | The following is a PBE calculation of a relaxed structure of LaMgTl2, from Alexandria.

Output
DOS(E_F)	0.65	states/eV per atom
symmetry	No. 122
magnetic moment	0.0	μB per formula unit

Cell: 4.9673 4.9673 10.9609 Å, 76.90 76.90 90.00°
Last column: nearest neighbours and their distance in Å.
Fractional positions:
Tl 0.8750 0.8251 0.7500  2 Mg 3.04, 2 Tl 3.18, 2 La 3.24
Mg 0.5000 0.5000 0.0000  4 Tl 3.04
La 0.7500 0.2500 0.5000  4 Tl 3.24, 4 Mg 3.51
Tl 0.5751 0.1250 0.2500  2 Mg 3.04, 2 Tl 3.18, 2 La 3.24
Mg 0.2500 0.7500 0.5000  4 Tl 3.04
Tl 0.1749 0.6250 0.2500  2 Mg 3.04, 2 Tl 3.18, 2 La 3.24
Tl 0.3750 0.4249 0.7500  2 Mg 3.04, 2 Tl 3.18, 2 La 3.24
La 0.0000 0.0000 0.0000  4 Tl 3.24, 4 Mg 3.51

three | The following is a PBE calculation of a relaxed structure of LaMgTl2, from Alexandria.

Output
DOS(E_F)	0.82	states/eV per atom
symmetry	No. 12
magnetic moment	0.0	μB per formula unit

Cell: 8.3430 4.9036 4.6729 Å, 89.84 56.16 125.83°
Last column: nearest neighbours and their distance in Å.
Fractional positions:
Mg 0.5000 0.5000 0.0000  8 Tl 3.38-3.39, 4 La 3.46-3.47
Tl 0.0000 0.0000 0.0000  4 Mg 3.38-3.39, 4 La 3.38-3.39, 4 Tl 3.46-3.47
La 0.0000 0.5000 0.5000  8 Tl 3.38-3.39, 4 Mg 3.46-3.47
Tl 0.5000 0.0000 0.5000  4 La 3.38-3.39, 4 Mg 3.38-3.39, 4 Tl 3.46-3.47

Relative energies with respect to the most stable structure, expressed in eV/atom: one 0.200; two 0.287; three 0.000.

one | The following is a PBE calculation of a relaxed structure of LaMgTl2, from Alexandria.

Output
DOS(E_F)	0.93	states/eV per atom
symmetry	No. 164
magnetic moment	0.0	μB per formula unit

Cell: 5.1434 5.1434 10.5247 Å, 90.00 90.00 120.00°
Last column: nearest neighbours and their distance in Å.
Fractional positions:
Tl 0.3333 0.6667 0.3243  4 Mg 3.00-3.05, 3 La 3.25
Tl 0.6667 0.3333 0.6757  4 Mg 3.00-3.05, 3 La 3.25
Tl 0.6667 0.3333 0.0436  3 Tl 3.11, 3 La 3.40
La 0.0000 0.0000 0.8000  6 Tl 3.25-3.40, 3 Mg 3.59
Mg 0.3333 0.6667 0.6092  4 Tl 3.00-3.05
Tl 0.3333 0.6667 0.9564  3 Tl 3.11, 3 La 3.40
La 0.0000 0.0000 0.2000  6 Tl 3.25-3.40, 3 Mg 3.59
Mg 0.6667 0.3333 0.3908  4 Tl 3.00-3.05

two | The following is a PBE calculation of a relaxed structure of LaMgTl2, from Alexandria.

Output
DOS(E_F)	0.66	states/eV per atom
symmetry	No. 123
magnetic moment	0.0	μB per formula unit

Cell: 3.7156 3.7173 7.9319 Å, 90.00 90.00 90.00°
Last column: nearest neighbours and their distance in Å.
Fractional positions:
Tl 0.0000 0.0000 0.5298  4 Mg 3.16, 4 La 3.44, 1 Tl 3.49
La 0.5000 0.5000 0.2500  8 Tl 3.44, 4 La 3.72
Mg 0.5000 0.5000 0.7500  8 Tl 3.16
Tl 0.0000 0.0000 0.9702  4 Mg 3.16, 4 La 3.44, 1 Tl 3.49

Relative energies with respect to the most stable structure, expressed in eV/atom: one 0.066; two 0.000.

one | The following is a PBE calculation of a relaxed structure of LaMgTl2, from Alexandria.

Output
DOS(E_F)	0.63	states/eV per atom
symmetry	No. 225
magnetic moment	0.0	μB per formula unit

Cell: 5.4094 5.4094 5.4094 Å, 60.00 60.00 60.00°
Last column: nearest neighbours and their distance in Å.
Fractional positions:
La 0.5000 0.5000 0.5000  8 Tl 3.31
Mg 0.0000 0.0000 0.0000  8 Tl 3.31
Tl 0.2500 0.2500 0.2500  4 La 3.31, 4 Mg 3.31
Tl 0.7500 0.7500 0.7500  4 Mg 3.31, 4 La 3.31

two | The following is a PBE calculation of a relaxed structure of LaMgTl2, from Alexandria.

Output
DOS(E_F)	0.98	states/eV per atom
symmetry	No. 25
magnetic moment	0.0	μB per formula unit

Cell: 3.5671 4.6672 6.9649 Å, 90.00 90.00 90.00°
Last column: nearest neighbours and their distance in Å.
Fractional positions:
Mg 0.5000 0.5000 0.7830  5 Tl 3.22-3.24, 2 Mg 3.57, 4 La 3.58
La 0.0000 0.0000 0.4902  6 Tl 3.39-3.55, 2 La 3.57, 4 Mg 3.58
Tl 0.5000 0.5000 0.2457  1 Mg 3.22, 4 La 3.39, 6 Tl 3.47-3.57
Tl 0.0000 0.0000 0.9810  4 Mg 3.24, 2 La 3.42-3.55, 6 Tl 3.47-3.57

Relative energies with respect to the most stable structure, expressed in eV/atom: one 0.000; two 0.172.

one | The following is a PBE calculation of a relaxed structure of LaMgTl2, from Alexandria.

Output
DOS(E_F)	0.50	states/eV per atom
symmetry	No. 12
magnetic moment	0.0	μB per formula unit

Cell: 4.0005 5.1890 6.3631 Å, 104.86 90.00 112.67°
Last column: nearest neighbours and their distance in Å.
Fractional positions:
Mg 0.0000 0.0000 0.5000  6 Tl 3.05-3.13
Tl 0.7386 0.4772 0.7061  3 Mg 3.05-3.13, 3 La 3.33-3.34, 2 Tl 3.35
La 0.5000 0.0000 0.0000  6 Tl 3.33-3.34
Tl 0.2614 0.5228 0.2939  3 Mg 3.05-3.13, 3 La 3.33-3.34, 2 Tl 3.35

two | The following is a PBE calculation of a relaxed structure of LaMgTl2, from Alexandria.

Output
DOS(E_F)	0.47	states/eV per atom
symmetry	No. 12
magnetic moment	0.0	μB per formula unit

Cell: 4.9124 4.9124 6.1793 Å, 66.53 66.53 60.09°
Last column: nearest neighbours and their distance in Å.
Fractional positions:
Tl 0.4788 0.4788 0.5637  3 Mg 3.01-3.02, 3 La 3.32
Mg 0.7500 0.7500 0.7500  6 Tl 3.01-3.02
Tl 0.0212 0.0212 0.9363  3 Mg 3.01-3.02, 3 La 3.32
La 0.2500 0.2500 0.2500  6 Tl 3.32

three | The following is a PBE calculation of a relaxed structure of LaMgTl2, from Alexandria.

Output
DOS(E_F)	0.76	states/eV per atom
symmetry	No. 35
magnetic moment	0.0	μB per formula unit

Cell: 3.4352 3.4352 10.8389 Å, 90.00 90.00 111.97°
Last column: nearest neighbours and their distance in Å.
Fractional positions:
Tl 0.5000 0.5000 0.2412  6 Tl 3.29-3.44, 2 La 3.42
Tl 0.0000 0.0000 0.9947  2 Mg 3.17, 6 Tl 3.29-3.44
La 0.0000 0.0000 0.5018  2 Mg 3.42, 2 Tl 3.42, 4 La 3.44
Mg 0.5000 0.5000 0.7623  2 Tl 3.17, 2 La 3.42, 4 Mg 3.44

four | The following is a PBE calculation of a relaxed structure of LaMgTl2, from Alexandria.

Output
DOS(E_F)	0.81	states/eV per atom
symmetry	No. 166
magnetic moment	0.6	μB per formula unit

Cell: 10.7197 10.7197 10.7197 Å, 18.95 18.95 18.95°
Last column: nearest neighbours and their distance in Å.
Fractional positions:
Mg 0.7500 0.7500 0.7500  6 Tl 3.15
Tl 0.4926 0.4926 0.4926  3 Mg 3.15, 3 La 3.52
Tl 0.0074 0.0074 0.0074  3 Mg 3.15, 3 La 3.52
La 0.2500 0.2500 0.2500  6 Tl 3.52, 6 La 3.53

Relative energies with respect to the most stable structure, expressed in eV/atom: one 0.073; two 0.000; three 0.270; four 0.180.